Here is a relaxed structure of Sm2NiAs4Pd3 from the Alexandria database. Energies are from PBE-GGA.

Output
DFT total energy	-5.743	eV/atom

```
Sm2NiAs4Pd3
1.0
-1.0910 -2.0475 3.6117
4.1514 -0.4950 0.9734
-0.1139 8.9168 5.0205
Sm Ni As Pd
2 1 4 3
Cartesian
-0.5751 1.2892 3.1081 Sm
1.9913 6.3564 4.2050 Sm
1.4732 3.1872 4.8028 Ni
1.5302 -1.2712 2.2926 As
0.0000 0.0000 0.0000 As
-0.6168 4.5537 4.9462 As
2.0330 3.0919 2.3669 As
-0.0570 4.4584 2.5102 Pd
-0.6441 6.6927 6.1505 Pd
2.0604 0.9529 1.1626 Pd
```

***

Here is a relaxed structure of ZnAg12Au2 from the Alexandria database. Energies are from PBE-GGA.

Output
DFT total energy	-2.607	eV/atom

```
ZnAg12Au2
1.0
-3.4572 4.1606 -0.0533
-3.1509 -2.6630 -3.4995
-10.1564 -8.2418 15.4163
Zn Ag Au
2 24 4
Cartesian
-1.7286 2.0803 -0.0267 Zn
-1.5754 -1.3315 -1.7498 Zn
-11.4135 -5.8320 10.5328 Ag
-8.1095 -6.5808 12.3093 Ag
-14.1434 -6.3306 11.2813 Ag
-12.4162 -8.4121 11.3063 Ag
-3.3912 -2.7519 5.1475 Ag
-4.1952 -1.7439 -1.1660 Ag
-9.5776 -2.0892 7.5315 Ag
-6.6953 -2.0031 3.3710 Ag
-10.8392 -7.0825 13.0561 Ag
-5.9252 0.3352 -1.1943 Ag
-7.4036 -3.7932 8.0527 Ag
-7.3401 -1.2431 6.0550 Ag
-6.7652 -5.4899 10.2688 Ag
-6.0568 -3.6998 5.5871 Ag
-2.6213 -0.4105 0.5837 Ag
-9.4042 -1.9866 4.2977 Ag
-10.6644 -4.0088 5.7893 Ag
-2.0469 -1.6611 3.1070 Ag
-8.4904 -5.7127 6.3105 Ag
-10.0692 -4.7411 8.4924 Ag
-12.5664 -5.0009 13.0311 Ag
-5.3510 -0.9122 1.3306 Ag
-8.1209 -4.4433 3.8298 Ag
-4.3513 1.6686 0.5555 Ag
-4.4463 -0.1250 4.0984 Au
-4.2931 -3.5369 2.3753 Au
-9.0142 -7.3680 9.5414 Au
-9.1674 -3.9562 11.2645 Au
```